10
Lattice="-2.506 -0.687 4.665 -1.096 -4.953 1.716 3.028 -2.081 4.440" Properties=species:S:1:pos:R:3 comment="HfInFe2O6 GGA+U relaxed" vol_a3_per_cell=120 total_energy_ev_per_atom=-7.440 dos_ef_per_ev_cell=0.00 rho_g_cm3=6.941 magnetic_moment_mub_per_fu=9.0 pbc="T T T"
O -0.822 -5.254 3.644
O -1.049 -1.970 4.297
O 1.538 -3.616 4.626
O 0.543 -5.471 6.466
O 0.370 -2.672 6.987
O -2.243 -4.162 6.453
Hf -0.958 -1.896 2.269
In -1.172 -5.769 7.712
Fe 2.798 -2.078 4.315
Fe -0.607 -3.844 5.243